Density functional theory data (PBE) for crystalline Nd3SiPt2 at its relaxed geometry.

CIF file:
```
data_Nd3SiPt2
_chemical_formula_sum 'Nd12 Si4 Pt8'
_cell_length_a 11.8850
_cell_length_b 4.1506
_cell_length_c 12.1701
_cell_angle_alpha 90.00
_cell_angle_beta 90.00
_cell_angle_gamma 90.00
_space_group_name_H-M_alt 'P n m a'
_space_group_IT_number 62
_space_group_name_Hall '-P 2ac 2n'
loop_
_atom_site_label
_atom_site_fract_x
_atom_site_fract_y
_atom_site_fract_z
Nd1 0.0600 0.2500 0.1201
Nd2 0.1219 0.7500 0.5553
Nd3 0.1976 0.2500 0.8048
Si1 0.1213 0.2500 0.3648
Pt1 0.0245 0.7500 0.3119
Pt2 0.1860 0.7500 0.9810
```

Calculated values
The total energy is -0.45850 Ry/atom.

***

Density functional theory data (PBE) for crystalline Nd3Si5Pt6 at its relaxed geometry.

CIF file:
```
data_Nd3Si5Pt6
_chemical_formula_sum 'Nd6 Si10 Pt12'
_cell_length_a 4.0993
_cell_length_b 12.4411
_cell_length_c 10.1912
_cell_angle_alpha 90.00
_cell_angle_beta 90.00
_cell_angle_gamma 90.00
_space_group_name_H-M_alt 'P m m n'
_space_group_IT_number 59
loop_
_space_group_symop_operation_xyz
'x,y,z'
'-x,-y,-z'
'-x+1/2,-y+1/2,z'
'x+1/2,y+1/2,-z'
'x+1/2,-y,-z'
'-x+1/2,y,z'
'-x,y+1/2,-z'
'x,-y+1/2,z'
loop_
_atom_site_label
_atom_site_fract_x
_atom_site_fract_y
_atom_site_fract_z
Nd1 0.2500 0.0949 0.2488
Nd2 0.2500 0.7500 0.2591
Si1 0.2500 0.0767 0.8527
Si2 0.2500 0.6302 0.5191
Si3 0.2500 0.7500 0.8840
Pt1 0.2500 0.0513 0.6146
Pt2 0.2500 0.2500 0.4904
Pt3 0.2500 0.2500 0.9795
Pt4 0.2500 0.5808 0.0115
```

Calculated values
The total energy is -0.48246 Ry/atom.

***

Density functional theory data (PBE) for crystalline Nd2SiPt6 at its relaxed geometry.

CIF file:
```
data_Nd2SiPt6
_chemical_formula_sum 'Nd4 Si2 Pt12'
_cell_length_a 9.8544
_cell_length_b 5.7201
_cell_length_c 6.1689
_cell_angle_alpha 90.00
_cell_angle_beta 104.64
_cell_angle_gamma 90.00
_space_group_name_H-M_alt 'C 1 2/m 1'
_space_group_IT_number 12
_space_group_name_Hall '-C 2y'
loop_
_atom_site_label
_atom_site_fract_x
_atom_site_fract_y
_atom_site_fract_z
Nd1 0.1423 0.0000 0.3501
Si1 0.0000 0.5000 0.5000
Pt1 0.1201 0.5000 0.2008
Pt2 0.1344 0.2454 0.8063
```

Calculated values
The calculation puts the energy above the lowest structure with this stoichiometry at 2.1 meV per atom.

***

Density functional theory data (PBE) for crystalline NdSi2Pt4 at its relaxed geometry.

CIF file:
```
data_NdSi2Pt4
_chemical_formula_sum 'Nd2 Si4 Pt8'
_cell_length_a 4.1429
_cell_length_b 14.0221
_cell_length_c 4.1435
_cell_angle_alpha 90.00
_cell_angle_beta 90.00
_cell_angle_gamma 90.00
_space_group_name_H-M_alt 'C m m m'
_space_group_IT_number 65
_space_group_name_Hall '-C 2 2'
loop_
_atom_site_label
_atom_site_fract_x
_atom_site_fract_y
_atom_site_fract_z
Nd1 0.0000 0.0000 0.0000
Si1 0.0000 0.4137 0.5000
Pt1 0.0000 0.1752 0.5000
Pt2 0.0000 0.3273 0.0000
```

Calculated values
The calculation puts the energy above the lowest structure with this stoichiometry at 18.1 meV per atom.

***

Density functional theory data (PBE) for crystalline Nd2SiPt at its relaxed geometry.

CIF file:
```
data_Nd2SiPt
_chemical_formula_sum 'Nd6 Si3 Pt3'
_cell_length_a 4.3403
_cell_length_b 4.3403
_cell_length_c 19.9644
_cell_angle_alpha 90.00
_cell_angle_beta 90.00
_cell_angle_gamma 120.00
_space_group_name_H-M_alt 'R -3 m'
_space_group_IT_number 166
_space_group_name_Hall '-R 3 2"'
loop_
_atom_site_label
_atom_site_fract_x
_atom_site_fract_y
_atom_site_fract_z
Nd1 0.0000 0.0000 0.2500
Si1 0.0000 0.0000 0.0000
Pt1 0.0000 0.0000 0.5000
```

Calculated values
The total energy is -0.43686 Ry/atom.

***

Density functional theory data (PBE) for crystalline NdSi2Pt at its relaxed geometry.

CIF file:
```
data_NdSi2Pt
_chemical_formula_sum 'Nd8 Si16 Pt8'
_cell_length_a 4.3682
_cell_length_b 8.6158
_cell_length_c 16.1977
_cell_angle_alpha 90.00
_cell_angle_beta 90.00
_cell_angle_gamma 90.00
_space_group_name_H-M_alt 'I m m m'
_space_group_IT_number 71
_space_group_name_Hall '-I 2 2'
loop_
_atom_site_label
_atom_site_fract_x
_atom_site_fract_y
_atom_site_fract_z
Nd1 0.0000 0.0000 0.2021
Nd2 0.0000 0.2436 0.0000
Si1 0.0000 0.0000 0.4266
Si2 0.0000 0.3522 0.1978
Si3 0.0000 0.5000 0.4273
Pt1 0.0000 0.2452 0.3505
```

Calculated values
The total energy is -0.46904 Ry/atom.

***

Density functional theory data (PBE) for crystalline NdSi3Pt3 at its relaxed geometry.

CIF file:
```
data_NdSi3Pt3
_chemical_formula_sum 'Nd2 Si6 Pt6'
_cell_length_a 6.6153
_cell_length_b 6.6153
_cell_length_c 6.6153
_cell_angle_alpha 90.00
_cell_angle_beta 90.00
_cell_angle_gamma 90.00
_space_group_name_H-M_alt 'P m -3 n'
_space_group_IT_number 223
_space_group_name_Hall '-P 4n 2 3'
loop_
_atom_site_label
_atom_site_fract_x
_atom_site_fract_y
_atom_site_fract_z
Nd1 0.0000 0.0000 0.0000
Si1 0.0000 0.2500 0.5000
Pt1 0.0000 0.5000 0.2500
```

Calculated values
The total energy is -0.46328 Ry/atom.

***

Density functional theory data (PBE) for crystalline NdSi2Pt6 at its relaxed geometry.

CIF file:
```
data_NdSi2Pt6
_chemical_formula_sum 'Nd1 Si2 Pt6'
_cell_length_a 5.5915
_cell_length_b 5.5915
_cell_length_c 6.4015
_cell_angle_alpha 90.00
_cell_angle_beta 90.00
_cell_angle_gamma 120.00
_space_group_name_H-M_alt 'P 6/m m m'
_space_group_IT_number 191
_space_group_name_Hall '-P 6 2'
loop_
_atom_site_label
_atom_site_fract_x
_atom_site_fract_y
_atom_site_fract_z
Nd1 0.0000 0.0000 0.0000
Si1 0.3333 0.6667 0.5000
Pt1 0.0000 0.5000 0.2227
```

Calculated values
The total energy is -0.48184 Ry/atom.

***

Density functional theory data (PBE) for crystalline Nd3Si4Pt2 at its relaxed geometry.

CIF file:
```
data_Nd3Si4Pt2
_chemical_formula_sum 'Nd6 Si8 Pt4'
_cell_length_a 11.0667
_cell_length_b 4.2230
_cell_length_c 8.5206
_cell_angle_alpha 90.00
_cell_angle_beta 110.10
_cell_angle_gamma 90.00
_space_group_name_H-M_alt 'C 1 2/m 1'
_space_group_IT_number 12
_space_group_name_Hall '-C 2y'
loop_
_atom_site_label
_atom_site_fract_x
_atom_site_fract_y
_atom_site_fract_z
Nd1 0.0000 0.0000 0.0000
Nd2 0.1138 0.5000 0.6868
Si1 0.1311 0.0000 0.4214
Si2 0.2287 0.5000 0.0622
Pt1 0.1689 0.5000 0.3093
```

Calculated values
The calculation puts the energy above the lowest structure with this stoichiometry at 70.7 meV per atom.

***

Density functional theory data (PBE) for crystalline Nd2Si3Pt9 at its relaxed geometry.

CIF file:
```
data_Nd2Si3Pt9
_chemical_formula_sum 'Nd8 Si12 Pt36'
_cell_length_a 13.4343
_cell_length_b 7.7103
_cell_length_c 10.2205
_cell_angle_alpha 90.00
_cell_angle_beta 116.65
_cell_angle_gamma 90.00
_space_group_name_H-M_alt 'C 1 2/c 1'
_space_group_IT_number 15
_space_group_name_Hall '-C 2yc'
loop_
_atom_site_label
_atom_site_fract_x
_atom_site_fract_y
_atom_site_fract_z
Nd1 0.1717 0.0852 0.2492
Si1 0.0885 0.2321 0.4980
Si2 0.2500 0.2500 0.0000
Pt1 0.0000 0.3606 0.2500
Pt2 0.0612 0.0767 0.9241
Pt3 0.1025 0.4088 0.0566
Pt4 0.1059 0.3096 0.7403
Pt5 0.2238 0.4170 0.4280
```

Calculated values
The total energy is -0.48572 Ry/atom.

***

Density functional theory data (PBE) for crystalline Nd3Si3Pt at its relaxed geometry.

CIF file:
```
data_Nd3Si3Pt
_chemical_formula_sum 'Nd6 Si6 Pt2'
_cell_length_a 4.0790
_cell_length_b 4.3407
_cell_length_c 18.3609
_cell_angle_alpha 90.00
_cell_angle_beta 90.00
_cell_angle_gamma 90.00
_space_group_name_H-M_alt 'I m m 2'
_space_group_IT_number 44
_space_group_name_Hall 'I 2 -2'
loop_
_atom_site_label
_atom_site_fract_x
_atom_site_fract_y
_atom_site_fract_z
Nd1 0.0000 0.0000 0.0000
Nd2 0.0000 0.0000 0.3678
Nd3 0.0000 0.5000 0.6854
Si1 0.0000 0.0000 0.5423
Si2 0.0000 0.0000 0.8257
Si3 0.0000 0.5000 0.2475
Pt1 0.0000 0.5000 0.1185
```

Calculated values
The total energy is -0.44913 Ry/atom.

***

Density functional theory data (PBE) for crystalline Nd3Si2Pt2 at its relaxed geometry.

CIF file:
```
data_Nd3Si2Pt2
_chemical_formula_sum 'Nd12 Si8 Pt8'
_cell_length_a 5.7401
_cell_length_b 8.1480
_cell_length_c 13.3285
_cell_angle_alpha 90.00
_cell_angle_beta 90.00
_cell_angle_gamma 90.00
_space_group_name_H-M_alt 'P b c m'
_space_group_IT_number 57
_space_group_name_Hall '-P 2c 2b'
loop_
_atom_site_label
_atom_site_fract_x
_atom_site_fract_y
_atom_site_fract_z
Nd1 0.1266 0.1124 0.1037
Nd2 0.3548 0.7466 0.7500
Si1 0.1583 0.0975 0.7500
Si2 0.3523 0.7500 0.0000
Pt1 0.3841 0.0417 0.5924
```

Calculated values
The total energy is -0.46261 Ry/atom.

***

Density functional theory data (PBE) for crystalline NdSi3Pt at its relaxed geometry.

CIF file:
```
data_NdSi3Pt
_chemical_formula_sum 'Nd4 Si12 Pt4'
_cell_length_a 4.1597
_cell_length_b 21.7120
_cell_length_c 4.1995
_cell_angle_alpha 90.00
_cell_angle_beta 90.00
_cell_angle_gamma 90.00
_space_group_name_H-M_alt 'C m m m'
_space_group_IT_number 65
_space_group_name_Hall '-C 2 2'
loop_
_atom_site_label
_atom_site_fract_x
_atom_site_fract_y
_atom_site_fract_z
Nd1 0.0000 0.1702 0.0000
Si1 0.0000 0.0537 0.5000
Si2 0.0000 0.2792 0.5000
Si3 0.0000 0.4460 0.0000
Pt1 0.0000 0.3905 0.5000
```

Calculated values
The total energy is -0.45360 Ry/atom.

***

Density functional theory data (PBE) for crystalline Nd3Si4Pt2 at its relaxed geometry.

CIF file:
```
data_Nd3Si4Pt2
_chemical_formula_sum 'Nd6 Si8 Pt4'
_cell_length_a 11.2116
_cell_length_b 4.1510
_cell_length_c 8.3669
_cell_angle_alpha 90.00
_cell_angle_beta 99.96
_cell_angle_gamma 90.00
_space_group_name_H-M_alt 'C 1 2/m 1'
_space_group_IT_number 12
_space_group_name_Hall '-C 2y'
loop_
_atom_site_label
_atom_site_fract_x
_atom_site_fract_y
_atom_site_fract_z
Nd1 0.0000 0.0000 0.0000
Nd2 0.1654 0.5000 0.6650
Si1 0.0530 0.0000 0.3878
Si2 0.2248 0.5000 0.0636
Pt1 0.1078 0.5000 0.2770
```

Calculated values
The calculation puts the energy above the lowest structure with this stoichiometry at 0.0 meV per atom.

***

Density functional theory data (PBE) for crystalline NdSm2Si2Pt7 at its relaxed geometry.

CIF file:
```
data_NdSm2Si2Pt7
_chemical_formula_sum 'Nd2 Sm4 Si4 Pt14'
_cell_length_a 5.8457
_cell_length_b 5.7761
_cell_length_c 13.8961
_cell_angle_alpha 90.00
_cell_angle_beta 98.21
_cell_angle_gamma 90.00
_space_group_name_H-M_alt 'C 1 2/m 1'
_space_group_IT_number 12
_space_group_name_Hall '-C 2y'
loop_
_atom_site_label
_atom_site_fract_x
_atom_site_fract_y
_atom_site_fract_z
Nd1 0.0000 0.0000 0.0000
Sm1 0.1096 0.0000 0.3578
Si1 0.0899 0.5000 0.2563
Pt1 0.0000 0.5000 0.0000
Pt2 0.1234 0.5000 0.4262
Pt3 0.1920 0.2507 0.8350
```

Calculated values
The total energy is -0.49022 Ry/atom.

***

Density functional theory data (PBE) for crystalline SrNdSi2Pt5 at its relaxed geometry.

CIF file:
```
data_SrNdSi2Pt5
_chemical_formula_sum 'Sr1 Nd1 Si2 Pt5'
_cell_length_a 4.2622
_cell_length_b 4.2622
_cell_length_c 9.1961
_cell_angle_alpha 90.00
_cell_angle_beta 90.00
_cell_angle_gamma 90.00
_space_group_name_H-M_alt 'P 4/m m m'
_space_group_IT_number 123
_space_group_name_Hall '-P 4 2'
loop_
_atom_site_label
_atom_site_fract_x
_atom_site_fract_y
_atom_site_fract_z
Sr1 0.0000 0.0000 0.0000
Nd1 0.0000 0.0000 0.5000
Si1 0.5000 0.5000 0.1393
Pt1 0.0000 0.5000 0.2668
Pt2 0.5000 0.5000 0.5000
```

Calculated values
The total energy is -0.45779 Ry/atom.

***

Density functional theory data (PBE) for crystalline Sr2NdSi3Pt12 at its relaxed geometry.

CIF file:
```
data_Sr2NdSi3Pt12
_chemical_formula_sum 'Sr6 Nd3 Si9 Pt36'
_cell_length_a 8.4374
_cell_length_b 8.4374
_cell_length_c 18.2361
_cell_angle_alpha 90.00
_cell_angle_beta 90.00
_cell_angle_gamma 120.00
_space_group_name_H-M_alt 'R -3 m'
_space_group_IT_number 166
_space_group_name_Hall '-R 3 2"'
loop_
_atom_site_label
_atom_site_fract_x
_atom_site_fract_y
_atom_site_fract_z
Sr1 0.0000 0.0000 0.0966
Nd1 0.0000 0.0000 0.5000
Si1 0.0000 0.5000 0.0000
Pt1 0.0324 0.5162 0.8721
Pt2 0.0410 0.5205 0.3649
```

Calculated values
The total energy is -0.42680 Ry/atom.

***

Density functional theory data (PBE) for crystalline TbNdSi2Pt5 at its relaxed geometry.

CIF file:
```
data_TbNdSi2Pt5
_chemical_formula_sum 'Tb1 Nd1 Si2 Pt5'
_cell_length_a 4.2434
_cell_length_b 4.2434
_cell_length_c 8.9970
_cell_angle_alpha 90.00
_cell_angle_beta 90.00
_cell_angle_gamma 90.00
_space_group_name_H-M_alt 'P 4/m m m'
_space_group_IT_number 123
_space_group_name_Hall '-P 4 2'
loop_
_atom_site_label
_atom_site_fract_x
_atom_site_fract_y
_atom_site_fract_z
Tb1 0.0000 0.0000 0.0000
Nd1 0.0000 0.0000 0.5000
Si1 0.5000 0.5000 0.1317
Pt1 0.0000 0.5000 0.2596
Pt2 0.5000 0.5000 0.5000
```

Calculated values
The total energy is -0.48880 Ry/atom.

***

Density functional theory data (PBE) for crystalline TbNdSiPt at its relaxed geometry.

CIF file:
```
data_TbNdSiPt
_chemical_formula_sum 'Tb2 Nd2 Si2 Pt2'
_cell_length_a 4.1934
_cell_length_b 4.0942
_cell_length_c 10.9998
_cell_angle_alpha 90.00
_cell_angle_beta 90.00
_cell_angle_gamma 90.00
_space_group_name_H-M_alt 'A m m 2'
_space_group_IT_number 38
_space_group_name_Hall 'A 2 -2'
loop_
_atom_site_label
_atom_site_fract_x
_atom_site_fract_y
_atom_site_fract_z
Tb1 0.0000 0.0000 0.0000
Nd1 0.5000 0.0000 0.7202
Si1 0.0000 0.0000 0.2932
Pt1 0.5000 0.0000 0.4416
```

Calculated values
The total energy is -0.45513 Ry/atom.